# 1
# Tl3SiIr PBE optimized geometry
# uncorrected formation energy: 0.65 eV per atom
# Fermi-level density of states: 3.26 states/eV per cell
# energy: -3.631 eV/atom
# M_tot: 1.660 μB per formula unit
data_Tl3SiIr
_chemical_formula_sum 'Tl3 Si1 Ir1'
_symmetry_space_group_name_H-M 'P m -3 m'
_symmetry_Int_Tables_number 221
_symmetry_space_group_name_Hall '-P 4 2 3'
_cell_length_a 5.2872
_cell_length_b 5.2872
_cell_length_c 5.2872
_cell_angle_alpha 90.00
_cell_angle_beta 90.00
_cell_angle_gamma 90.00
loop_
_atom_site_label
_atom_site_fract_x
_atom_site_fract_y
_atom_site_fract_z
Tl1 0.0000 0.0000 0.5000
Si1 0.5000 0.5000 0.5000
Ir1 0.0000 0.0000 0.0000


# 2
# Tl2SiIr PBE optimized geometry
# uncorrected formation energy: 0.72 eV per atom
# Fermi-level density of states: 2.24 states/eV per cell
# energy: -4.030 eV/atom
# M_tot: 0.000 μB per formula unit
data_Tl2SiIr
_chemical_formula_sum 'Tl2 Si1 Ir1'
_symmetry_space_group_name_H-M 'P m m m'
_symmetry_Int_Tables_number 47
_symmetry_space_group_name_Hall '-P 2 2'
_cell_length_a 3.3313
_cell_length_b 4.6960
_cell_length_c 5.2702
_cell_angle_alpha 90.00
_cell_angle_beta 90.00
_cell_angle_gamma 90.00
loop_
_atom_site_label
_atom_site_fract_x
_atom_site_fract_y
_atom_site_fract_z
Tl1 0.0000 0.0000 0.0000
Tl2 0.5000 0.0000 0.5000
Si1 0.0000 0.5000 0.5000
Ir1 0.5000 0.5000 0.0000


# 3
# TlSi2Ir PBE optimized geometry
# uncorrected formation energy: 0.14 eV per atom
# Fermi-level density of states: 1.76 states/eV per cell
# energy: -5.378 eV/atom
# M_tot: 0.000 μB per formula unit
data_TlSi2Ir
_chemical_formula_sum 'Tl1 Si2 Ir1'
_symmetry_space_group_name_H-M 'P 1 m 1'
_symmetry_Int_Tables_number 6
_symmetry_space_group_name_Hall 'P -2y'
_cell_length_a 3.6709
_cell_length_b 3.5955
_cell_length_c 6.1646
_cell_angle_alpha 90.00
_cell_angle_beta 106.78
_cell_angle_gamma 90.00
loop_
_atom_site_label
_atom_site_fract_x
_atom_site_fract_y
_atom_site_fract_z
Tl1 0.0000 0.0000 0.0000
Si1 0.2453 0.0000 0.4649
Si2 0.7467 0.5000 0.4732
Ir1 0.3728 0.5000 0.7343


# 4
# Tl2SiIr PBE optimized geometry
# uncorrected formation energy: 0.25 eV per atom
# Fermi-level density of states: 4.96 states/eV per cell
# energy: -4.506 eV/atom
# M_tot: 0.000 μB per formula unit
data_Tl2SiIr
_chemical_formula_sum 'Tl4 Si2 Ir2'
_symmetry_space_group_name_H-M 'C m m m'
_symmetry_Int_Tables_number 65
_symmetry_space_group_name_Hall '-C 2 2'
_cell_length_a 4.5309
_cell_length_b 11.7736
_cell_length_c 4.2576
_cell_angle_alpha 90.00
_cell_angle_beta 90.00
_cell_angle_gamma 90.00
loop_
_atom_site_label
_atom_site_fract_x
_atom_site_fract_y
_atom_site_fract_z
Tl1 0.0000 0.1535 0.0000
Si1 0.0000 0.5000 0.5000
Ir1 0.0000 0.0000 0.5000


# 5
# Tl2SiIr PBE optimized geometry
# uncorrected formation energy: 0.72 eV per atom
# Fermi-level density of states: 10.35 states/eV per cell
# energy: -4.039 eV/atom
# M_tot: 0.000 μB per formula unit
data_Tl2SiIr
_chemical_formula_sum 'Tl6 Si3 Ir3'
_symmetry_space_group_name_H-M 'R -3 m'
_symmetry_Int_Tables_number 166
_symmetry_space_group_name_Hall '-R 3 2"'
_cell_length_a 3.1664
_cell_length_b 3.1664
_cell_length_c 29.1905
_cell_angle_alpha 90.00
_cell_angle_beta 90.00
_cell_angle_gamma 120.00
loop_
_atom_site_label
_atom_site_fract_x
_atom_site_fract_y
_atom_site_fract_z
Tl1 0.0000 0.0000 0.2430
Si1 0.0000 0.0000 0.0000
Ir1 0.0000 0.0000 0.5000


# 6
# TlSi2Ir PBE optimized geometry
# uncorrected formation energy: 0.61 eV per atom
# Fermi-level density of states: 3.54 states/eV per cell
# energy: -4.910 eV/atom
# M_tot: 0.000 μB per formula unit
data_TlSi2Ir
_chemical_formula_sum 'Tl2 Si4 Ir2'
_symmetry_space_group_name_H-M 'C m m m'
_symmetry_Int_Tables_number 65
_symmetry_space_group_name_Hall '-C 2 2'
_cell_length_a 5.4102
_cell_length_b 7.8411
_cell_length_c 3.2793
_cell_angle_alpha 90.00
_cell_angle_beta 90.00
_cell_angle_gamma 90.00
loop_
_atom_site_label
_atom_site_fract_x
_atom_site_fract_y
_atom_site_fract_z
Tl1 0.0000 0.0000 0.0000
Si1 0.2500 0.2500 0.5000
Ir1 0.0000 0.5000 0.0000


# 7
# TlSi2Ir PBE optimized geometry
# uncorrected formation energy: 0.54 eV per atom
# Fermi-level density of states: 4.32 states/eV per cell
# energy: -4.976 eV/atom
# M_tot: 0.000 μB per formula unit
data_TlSi2Ir
_chemical_formula_sum 'Tl4 Si8 Ir4'
_symmetry_space_group_name_H-M 'F m -3 m'
_symmetry_Int_Tables_number 225
_symmetry_space_group_name_Hall '-F 4 2 3'
_cell_length_a 6.5060
_cell_length_b 6.5060
_cell_length_c 6.5060
_cell_angle_alpha 90.00
_cell_angle_beta 90.00
_cell_angle_gamma 90.00
loop_
_atom_site_label
_atom_site_fract_x
_atom_site_fract_y
_atom_site_fract_z
Tl1 0.0000 0.0000 0.0000
Si1 0.2500 0.2500 0.2500
Ir1 0.0000 0.0000 0.5000


# 8
# Tl2SiIr PBE optimized geometry
# uncorrected formation energy: 0.01 eV per atom
# Fermi-level density of states: 1.85 states/eV per cell
# energy: -4.747 eV/atom
# M_tot: 0.000 μB per formula unit
data_Tl2SiIr
_chemical_formula_sum 'Tl2 Si1 Ir1'
_symmetry_space_group_name_H-M 'P 4 m m'
_symmetry_Int_Tables_number 99
_symmetry_space_group_name_Hall 'P 4 -2'
_cell_length_a 3.1556
_cell_length_b 3.1556
_cell_length_c 9.0309
_cell_angle_alpha 90.00
_cell_angle_beta 90.00
_cell_angle_gamma 90.00
loop_
_atom_site_label
_atom_site_fract_x
_atom_site_fract_y
_atom_site_fract_z
Tl1 0.0000 0.0000 0.0000
Tl2 0.5000 0.5000 0.3593
Si1 0.5000 0.5000 0.7369
Ir1 0.0000 0.0000 0.6252


# 9
# TlSi2Ir PBE optimized geometry
# uncorrected formation energy: 0.69 eV per atom
# Fermi-level density of states: 2.48 states/eV per cell
# energy: -4.833 eV/atom
# M_tot: 0.000 μB per formula unit
data_TlSi2Ir
_chemical_formula_sum 'Tl1 Si2 Ir1'
_symmetry_space_group_name_H-M 'P m m m'
_symmetry_Int_Tables_number 47
_symmetry_space_group_name_Hall '-P 2 2'
_cell_length_a 3.1204
_cell_length_b 4.5309
_cell_length_c 5.0109
_cell_angle_alpha 90.00
_cell_angle_beta 90.00
_cell_angle_gamma 90.00
loop_
_atom_site_label
_atom_site_fract_x
_atom_site_fract_y
_atom_site_fract_z
Tl1 0.0000 0.0000 0.0000
Si1 0.0000 0.5000 0.5000
Si2 0.5000 0.0000 0.5000
Ir1 0.5000 0.5000 0.0000


# 10
# Tl2SiIr PBE optimized geometry
# uncorrected formation energy: 0.69 eV per atom
# Fermi-level density of states: 5.46 states/eV per cell
# energy: -4.060 eV/atom
# M_tot: 0.000 μB per formula unit
data_Tl2SiIr
_chemical_formula_sum 'Tl4 Si2 Ir2'
_symmetry_space_group_name_H-M 'I -4 m 2'
_symmetry_Int_Tables_number 119
_symmetry_space_group_name_Hall 'I -4 -2'
_cell_length_a 4.6203
_cell_length_b 4.6203
_cell_length_c 7.6589
_cell_angle_alpha 90.00
_cell_angle_beta 90.00
_cell_angle_gamma 90.00
loop_
_atom_site_label
_atom_site_fract_x
_atom_site_fract_y
_atom_site_fract_z
Tl1 0.0000 0.0000 0.0000
Tl2 0.0000 0.5000 0.2500
Si1 0.0000 0.0000 0.5000
Ir1 0.0000 0.5000 0.7500


# 11
# TlSi2Ir PBE optimized geometry
# uncorrected formation energy: 0.68 eV per atom
# Fermi-level density of states: 2.24 states/eV per cell
# energy: -4.834 eV/atom
# M_tot: 0.000 μB per formula unit
data_TlSi2Ir
_chemical_formula_sum 'Tl1 Si2 Ir1'
_symmetry_space_group_name_H-M 'P 4/m m m'
_symmetry_Int_Tables_number 123
_symmetry_space_group_name_Hall '-P 4 2'
_cell_length_a 4.2482
_cell_length_b 4.2482
_cell_length_c 3.8393
_cell_angle_alpha 90.00
_cell_angle_beta 90.00
_cell_angle_gamma 90.00
loop_
_atom_site_label
_atom_site_fract_x
_atom_site_fract_y
_atom_site_fract_z
Tl1 0.0000 0.0000 0.0000
Si1 0.0000 0.5000 0.5000
Ir1 0.5000 0.5000 0.0000


# 12
# TlSi4Ir PBE optimized geometry
# uncorrected formation energy: 0.73 eV per atom
# Fermi-level density of states: 16.31 states/eV per cell
# energy: -4.754 eV/atom
# M_tot: 0.000 μB per formula unit
data_TlSi4Ir
_chemical_formula_sum 'Tl4 Si16 Ir4'
_symmetry_space_group_name_H-M 'F -4 3 m'
_symmetry_Int_Tables_number 216
_symmetry_space_group_name_Hall 'F -4 2 3'
_cell_length_a 7.3876
_cell_length_b 7.3876
_cell_length_c 7.3876
_cell_angle_alpha 90.00
_cell_angle_beta 90.00
_cell_angle_gamma 90.00
loop_
_atom_site_label
_atom_site_fract_x
_atom_site_fract_y
_atom_site_fract_z
Tl1 0.0000 0.0000 0.0000
Si1 0.1245 0.1245 0.3755
Ir1 0.2500 0.2500 0.7500


# 13
# TlSi2Ir PBE optimized geometry
# uncorrected formation energy: -0.07 eV per atom
# Fermi-level density of states: 4.59 states/eV per cell
# energy: -5.584 eV/atom
# M_tot: 0.000 μB per formula unit
data_TlSi2Ir
_chemical_formula_sum 'Tl2 Si4 Ir2'
_symmetry_space_group_name_H-M 'C 1 2/m 1'
_symmetry_Int_Tables_number 12
_symmetry_space_group_name_Hall '-C 2y'
_cell_length_a 6.9116
_cell_length_b 3.9839
_cell_length_c 6.6576
_cell_angle_alpha 90.00
_cell_angle_beta 109.10
_cell_angle_gamma 90.00
loop_
_atom_site_label
_atom_site_fract_x
_atom_site_fract_y
_atom_site_fract_z
Tl1 0.0000 0.0000 0.0000
Si1 0.2048 0.0000 0.6198
Ir1 0.0000 0.5000 0.5000


# 14
# Tl3SiIr PBE optimized geometry
# uncorrected formation energy: 1.17 eV per atom
# Fermi-level density of states: 7.02 states/eV per cell
# energy: -3.103 eV/atom
# M_tot: 0.518 μB per formula unit
data_Tl3SiIr
_chemical_formula_sum 'Tl3 Si1 Ir1'
_symmetry_space_group_name_H-M 'P m -3 m'
_symmetry_Int_Tables_number 221
_symmetry_space_group_name_Hall '-P 4 2 3'
_cell_length_a 5.1678
_cell_length_b 5.1678
_cell_length_c 5.1678
_cell_angle_alpha 90.00
_cell_angle_beta 90.00
_cell_angle_gamma 90.00
loop_
_atom_site_label
_atom_site_fract_x
_atom_site_fract_y
_atom_site_fract_z
Tl1 0.0000 0.0000 0.5000
Si1 0.0000 0.0000 0.0000
Ir1 0.5000 0.5000 0.5000


# 15
# TlSi2Ir PBE optimized geometry
# uncorrected formation energy: 0.14 eV per atom
# Fermi-level density of states: 0.60 states/eV per cell
# energy: -5.376 eV/atom
# M_tot: 0.000 μB per formula unit
data_TlSi2Ir
_chemical_formula_sum 'Tl4 Si8 Ir4'
_symmetry_space_group_name_H-M 'I 41/a m d'
_symmetry_Int_Tables_number 141
_cell_length_a 5.6851
_cell_length_b 5.6851
_cell_length_c 13.8843
_cell_angle_alpha 90.00
_cell_angle_beta 90.00
_cell_angle_gamma 90.00
loop_
_symmetry_equiv_pos_as_xyz
'x,y,z'
'-x,-y,-z'
'-y+1/4,x+3/4,z+1/4'
'y+1/4,-x+3/4,-z+1/4'
'-x+1/2,-y,z+1/2'
'x+1/2,y,-z+1/2'
'y+1/4,-x+1/4,z+3/4'
'-y+1/4,x+1/4,-z+3/4'
'x,-y,-z'
'-x,y,z'
'-y+1/4,-x+1/4,-z+3/4'
'y+1/4,x+1/4,z+3/4'
'-x+1/2,y,-z+1/2'
'x+1/2,-y,z+1/2'
'y+1/4,x+3/4,-z+1/4'
'-y+1/4,-x+3/4,z+1/4'
'x+1/2,y+1/2,z+1/2'
'-x+1/2,-y+1/2,-z+1/2'
'-y+3/4,x+1/4,z+3/4'
'y+3/4,-x+1/4,-z+3/4'
'-x,-y+1/2,z'
'x,y+1/2,-z'
'y+3/4,-x+3/4,z+1/4'
'-y+3/4,x+3/4,-z+1/4'
'x+1/2,-y+1/2,-z+1/2'
'-x+1/2,y+1/2,z+1/2'
'-y+3/4,-x+3/4,-z+1/4'
'y+3/4,x+3/4,z+1/4'
'-x,y+1/2,-z'
'x,-y+1/2,z'
'y+3/4,x+1/4,-z+3/4'
'-y+3/4,-x+1/4,z+3/4'
loop_
_atom_site_label
_atom_site_fract_x
_atom_site_fract_y
_atom_site_fract_z
Tl1 0.0000 0.2500 0.3750
Si1 0.0000 0.0000 0.0000
Ir1 0.0000 0.2500 0.8750


# 16
# Tm4Si3Ir PBE optimized geometry
# uncorrected formation energy: -0.85 eV per atom
# Fermi-level density of states: 5.63 states/eV per cell
# energy: -6.223 eV/atom
# M_tot: 0.000 μB per formula unit
data_Tm4Si3Ir
_chemical_formula_sum 'Tm4 Si3 Ir1'
_symmetry_space_group_name_H-M 'P m m 2'
_symmetry_Int_Tables_number 25
_symmetry_space_group_name_Hall 'P 2 -2'
_cell_length_a 3.8055
_cell_length_b 4.1953
_cell_length_c 10.5241
_cell_angle_alpha 90.00
_cell_angle_beta 90.00
_cell_angle_gamma 90.00
loop_
_atom_site_label
_atom_site_fract_x
_atom_site_fract_y
_atom_site_fract_z
Tm1 0.0000 0.0000 0.0000
Tm2 0.0000 0.5000 0.4954
Tm3 0.5000 0.0000 0.2795
Tm4 0.5000 0.5000 0.7830
Si1 0.0000 0.0000 0.7078
Si2 0.0000 0.5000 0.2139
Si3 0.5000 0.0000 0.5609
Ir1 0.5000 0.5000 0.0626


# 17
# Tm2Si3Ir2 PBE optimized geometry
# uncorrected formation energy: -0.92 eV per atom
# Fermi-level density of states: 11.88 states/eV per cell
# energy: -7.056 eV/atom
# M_tot: 0.000 μB per formula unit
data_Tm2Si3Ir2
_chemical_formula_sum 'Tm8 Si12 Ir8'
_symmetry_space_group_name_H-M 'C m c m'
_symmetry_Int_Tables_number 63
_symmetry_space_group_name_Hall '-C 2c 2'
_cell_length_a 4.0350
_cell_length_b 17.2836
_cell_length_c 6.9552
_cell_angle_alpha 90.00
_cell_angle_beta 90.00
_cell_angle_gamma 90.00
loop_
_atom_site_label
_atom_site_fract_x
_atom_site_fract_y
_atom_site_fract_z
Tm1 0.0000 0.0583 0.2500
Tm2 0.0000 0.1548 0.7500
Si1 0.0000 0.2266 0.2500
Si2 0.0000 0.4390 0.0721
Ir1 0.0000 0.3097 0.5488


# 18
# Tm2SiIr PBE optimized geometry
# uncorrected formation energy: -0.72 eV per atom
# Fermi-level density of states: 1.18 states/eV per cell
# energy: -6.525 eV/atom
# M_tot: 0.000 μB per formula unit
data_Tm2SiIr
_chemical_formula_sum 'Tm2 Si1 Ir1'
_symmetry_space_group_name_H-M 'P 4/m m m'
_symmetry_Int_Tables_number 123
_symmetry_space_group_name_Hall '-P 4 2'
_cell_length_a 4.6304
_cell_length_b 4.6304
_cell_length_c 3.7092
_cell_angle_alpha 90.00
_cell_angle_beta 90.00
_cell_angle_gamma 90.00
loop_
_atom_site_label
_atom_site_fract_x
_atom_site_fract_y
_atom_site_fract_z
Tm1 0.0000 0.5000 0.0000
Si1 0.0000 0.0000 0.5000
Ir1 0.5000 0.5000 0.5000


# 19
# Tm3Si3Ir PBE optimized geometry
# uncorrected formation energy: -0.94 eV per atom
# Fermi-level density of states: 13.15 states/eV per cell
# energy: -6.447 eV/atom
# M_tot: 0.000 μB per formula unit
data_Tm3Si3Ir
_chemical_formula_sum 'Tm12 Si12 Ir4'
_symmetry_space_group_name_H-M 'C 1 2/m 1'
_symmetry_Int_Tables_number 12
_symmetry_space_group_name_Hall '-C 2y'
_cell_length_a 10.4418
_cell_length_b 4.1876
_cell_length_c 13.3511
_cell_angle_alpha 90.00
_cell_angle_beta 110.84
_cell_angle_gamma 90.00
loop_
_atom_site_label
_atom_site_fract_x
_atom_site_fract_y
_atom_site_fract_z
Tm1 0.0189 0.0000 0.3738
Tm2 0.1022 0.0000 0.9210
Tm3 0.2426 0.0000 0.2272
Si1 0.0449 0.5000 0.2371
Si2 0.1149 0.5000 0.0743
Si3 0.1291 0.5000 0.5442
Ir1 0.2472 0.5000 0.4138


# 20
# Tm2Si7Ir12 PBE optimized geometry
# uncorrected formation energy: -0.83 eV per atom
# Fermi-level density of states: 6.48 states/eV per cell
# energy: -8.129 eV/atom
# M_tot: 0.000 μB per formula unit
data_Tm2Si7Ir12
_chemical_formula_sum 'Tm2 Si7 Ir12'
_symmetry_space_group_name_H-M 'P -6'
_symmetry_Int_Tables_number 174
_symmetry_space_group_name_Hall 'P -6'
_cell_length_a 9.7390
_cell_length_b 9.7390
_cell_length_c 3.8652
_cell_angle_alpha 90.00
_cell_angle_beta 90.00
_cell_angle_gamma 120.00
loop_
_atom_site_label
_atom_site_fract_x
_atom_site_fract_y
_atom_site_fract_z
Tm1 0.0000 0.0000 0.0000
Tm2 0.3333 0.6667 0.5000
Si1 0.0729 0.4502 0.0000
Si2 0.2601 0.2178 0.5000
Si3 0.6667 0.3333 0.0000
Ir1 0.0497 0.2726 0.5000
Ir2 0.1115 0.7118 0.0000
Ir3 0.3947 0.1821 0.0000
Ir4 0.5275 0.4438 0.5000